Entry 1:
A plane-wave DFT calculation with PBE was carried out for a geometry-optimized GeW4SN2 structure.

a = 2.9147 Å, b = 2.9147 Å, c = 13.7270 Å
α = 90.00°, β = 90.00°, γ = 120.00°
Atoms (fractional coordinates):
Ge1 0.0000 0.0000 0.0000
W1 0.0000 0.0000 0.3636
W2 0.0000 0.0000 0.6364
W3 0.3333 0.6667 0.1545
W4 0.3333 0.6667 0.8455
S1 0.3333 0.6667 0.5000
N1 0.6667 0.3333 0.2567
N2 0.6667 0.3333 0.7433

## Properties
Calculated density: 14273 kg/m³
Space-group type: P-6m2 (187)
Uncorrected energy: -75.222 eV/f.u.



Entry 2:
A plane-wave DFT calculation with PBE was carried out for a geometry-optimized RbZnGa2Ir structure.

a = 4.8628 Å, b = 4.8628 Å, c = 5.0582 Å
α = 90.00°, β = 90.00°, γ = 90.00°
Atoms (fractional coordinates):
Rb1 0.0000 0.0000 0.0000
Zn1 0.5000 0.5000 0.0000
Ga1 0.0000 0.5000 0.5000
Ga2 0.5000 0.0000 0.5000
Ir1 0.5000 0.5000 0.5000

## Properties
Calculated density: 6699 kg/m³
Space-group type: P4/mmm (123)
Uncorrected energy: -18.683 eV/f.u.